# 1
## Pm9Ho11Tm4 (PBE-GGA)

Data for a relaxed Pm9Ho11Tm4 crystal.

Unit cell a=16.710 b=25.344 c=3.684 alpha=90.00 beta=90.00 gamma=90.00
Space group Cmmm (No. 65)
Asymmetric unit:
Pm 0.000 0.000 0.000
Pm 0.103 0.233 0.000
Pm 0.141 0.426 0.000
Ho 0.000 0.132 0.500
Ho 0.000 0.339 0.500
Ho 0.000 0.500 0.500
Ho 0.209 0.000 0.500
Ho 0.226 0.320 0.500
Tm 0.156 0.101 0.000

Properties
Fermi-level density of states, states/eV per atom: 1.3338
Energy, eV per atom: -4.575

# 2
## Pm4Ho3Tm4 (PBE-GGA)

Data for a relaxed Pm4Ho3Tm4 crystal.

Unit cell a=3.503 b=5.621 c=18.043 alpha=98.95 beta=95.56 gamma=90.01
Space group P-1 (No. 2)
Asymmetric unit:
Pm 0.090 0.091 0.181
Pm 0.233 0.732 0.465
Ho 0.365 0.364 0.728
Ho 0.500 0.000 0.000
Tm 0.045 0.546 0.091
Tm 0.180 0.180 0.361

Properties
Fermi-level density of states, states/eV per atom: 1.7302
Energy, eV per atom: -4.534

# 3
## Pm2Ho8Tm (PBE-GGA)

Data for a relaxed Pm2Ho8Tm crystal.

Unit cell a=18.072 b=5.006 c=7.924 alpha=90.00 beta=105.24 gamma=90.00
Space group C2/m (No. 12)
Asymmetric unit:
Pm 0.227 0.000 0.137
Ho 0.045 0.000 0.228
Ho 0.090 0.500 0.953
Ho 0.135 0.000 0.678
Ho 0.181 0.500 0.408
Tm 0.000 0.500 0.500

Properties
Fermi-level density of states, states/eV per atom: 1.3325
Energy, eV per atom: -4.578

# 4
## PmHo12Tm2 (PBE-GGA)

Data for a relaxed PmHo12Tm2 crystal.

Unit cell a=3.540 b=5.533 c=24.177 alpha=90.00 beta=94.19 gamma=90.00
Space group P2/m (No. 10)
Asymmetric unit:
Pm 0.000 0.000 0.000
Ho 0.068 0.000 0.139
Ho 0.099 0.500 0.202
Ho 0.165 0.500 0.330
Ho 0.215 0.000 0.425
Ho 0.276 0.500 0.555
Ho 0.464 0.500 0.925
Tm 0.366 0.000 0.728

Properties
Fermi-level density of states, states/eV per atom: 1.5798
Energy, eV per atom: -4.459

# 5
## PmHo6Tm12 (PBE-GGA)

Data for a relaxed PmHo6Tm12 crystal.

Unit cell a=14.7268 b=14.7268 c=10.2246 alpha=90.00 beta=90.00 gamma=120.00
Space group R-3m (No. 166, hexagonal axes)
Asymmetric unit:
Pm 0.0000 0.0000 0.0000
Ho 0.0639 0.5320 0.2199
Tm 0.0000 0.3880 0.5000
Tm 0.0767 0.1534 0.2689

Properties
Fermi-level density of states, states/eV per atom: 1.5867
Energy, eV per atom: -4.072

# 6
## Pm5Ho2Tm3 (PBE-GGA)

Data for a relaxed Pm5Ho2Tm3 crystal.

Unit cell a=10.651 b=14.944 c=9.893 alpha=90.00 beta=122.57 gamma=90.00
Space group C2/c (No. 15)
Asymmetric unit:
Pm 0.000 0.022 0.250
Pm 0.000 0.231 0.250
Pm 0.000 0.271 0.750
Pm 0.243 0.382 0.238
Ho 0.155 0.379 0.555
Tm 0.000 0.475 0.750
Tm 0.151 0.124 0.056

Properties
Fermi-level density of states, states/eV per atom: 1.7871
Energy, eV per atom: -4.445

# 7
## Pm2Ho2Tm15 (PBE-GGA)

Data for a relaxed Pm2Ho2Tm15 crystal.

Unit cell a=11.0768 b=11.0768 c=17.3638 alpha=90.00 beta=90.00 gamma=120.00
Space group R-3m (No. 166, hexagonal axes)
Asymmetric unit:
Pm 0.0000 0.0000 0.1158
Ho 0.0000 0.0000 0.3284
Tm 0.0000 0.3044 0.0000
Tm 0.0000 0.5000 0.5000
Tm 0.0123 0.5061 0.1392

Properties
Fermi-level density of states, states/eV per atom: 1.6576
Energy, eV per atom: -4.217

# 8
## Pm7HoTm12 (PBE-GGA)

Data for a relaxed Pm7HoTm12 crystal.

Unit cell a=11.175 b=11.175 c=11.175 alpha=90.00 beta=90.00 gamma=90.00
Space group Im-3m (No. 229)
Asymmetric unit:
Pm 0.000 0.000 0.500
Pm 0.250 0.250 0.250
Ho 0.000 0.000 0.000
Tm 0.000 0.246 0.246

Properties
Fermi-level density of states, states/eV per atom: 1.3890
Energy, eV per atom: -3.900